Material: Th3Sb4
Method: DFT, PBE
State: optimized geometry

As for the raw formation energy: -0.9305 eV/atom.

The space group is I-43d (No. 220) and the conventional cell measures 9.449, 9.449 and 9.449 Å, with angles of 90.00, 90.00 and 90.00 degrees. The distinct sites, in fractional coordinates, are Th at (0.000, 0.250, 0.375) and Sb at (0.080, 0.080, 0.080).


Material: Th3Sb
Method: DFT, PBE
State: optimized geometry

As for the raw formation energy: -0.2982 eV/atom.

The space group is I4/mmm (No. 139) and the conventional cell measures 4.840, 4.840 and 10.256 Å, with angles of 90.00, 90.00 and 90.00 degrees. The distinct sites, in fractional coordinates, are Th at (0.000, 0.000, 0.000), Th at (0.000, 0.500, 0.250) and Sb at (0.000, 0.000, 0.500).


Material: Th3Sb2
Method: DFT, PBE
State: optimized geometry

As for the raw formation energy: -0.5348 eV/atom.

The space group is Ibam (No. 72) and the conventional cell measures 8.766, 11.867 and 6.337 Å, with angles of 90.00, 90.00 and 90.00 degrees. The distinct sites, in fractional coordinates, are Th at (0.000, 0.000, 0.250), Th at (0.141, 0.325, 0.000) and Sb at (0.199, 0.407, 0.500).


Material: Th3Sb
Method: DFT, PBE
State: optimized geometry

As for the raw formation energy: -0.3347 eV/atom.

The space group is P2_1/m (No. 11) and the conventional cell measures 6.770, 3.886 and 9.806 Å, with angles of 90.00, 97.09 and 90.00 degrees. The distinct sites, in fractional coordinates, are Th at (0.091, 0.250, 0.364), Th at (0.312, 0.750, 0.103), Th at (0.385, 0.750, 0.631) and Sb at (0.185, 0.250, 0.848).


Material: Th3Sb
Method: DFT, PBE
State: optimized geometry

As for the raw formation energy: -0.3468 eV/atom.

The space group is Imm2 (No. 44) and the conventional cell measures 3.945, 10.773 and 5.777 Å, with angles of 90.00, 90.00 and 90.00 degrees. The distinct sites, in fractional coordinates, are Th at (0.000, 0.000, 0.000), Th at (0.000, 0.232, 0.641) and Sb at (0.000, 0.500, 0.972).


Material: ThTi6Sb6
Method: DFT, PBE
State: optimized geometry

As for the raw formation energy: -0.5982 eV/atom.

The space group is Immm (No. 71) and the conventional cell measures 5.793, 9.333 and 9.994 Å, with angles of 90.00, 90.00 and 90.00 degrees. The distinct sites, in fractional coordinates, are Th at (0.000, 0.000, 0.000), Ti at (0.000, 0.246, 0.500), Ti at (0.250, 0.250, 0.250), Sb at (0.000, 0.000, 0.330), Sb at (0.000, 0.336, 0.000) and Sb at (0.000, 0.500, 0.337).


Material: Th3TlSb2
Method: DFT, PBE
State: optimized geometry

As for the raw formation energy: -0.5389 eV/atom.

The space group is Immm (No. 71) and the conventional cell measures 4.963, 8.581 and 16.459 Å, with angles of 90.00, 90.00 and 90.00 degrees. The distinct sites, in fractional coordinates, are Th at (0.000, 0.236, 0.000), Th at (0.000, 0.260, 0.334), Tl at (0.000, 0.500, 0.158), Sb at (0.000, 0.000, 0.180), Sb at (0.000, 0.000, 0.500) and Sb at (0.000, 0.500, 0.500).


Material: Th4TlSb2
Method: DFT, PBE
State: optimized geometry

As for the raw formation energy: -0.3941 eV/atom.

The space group is Cmcm (No. 63) and the conventional cell measures 4.782, 11.159 and 16.689 Å, with angles of 90.00, 90.00 and 90.00 degrees. The distinct sites, in fractional coordinates, are Th at (0.000, 0.000, 0.000), Th at (0.000, 0.332, 0.129), Th at (0.000, 0.371, 0.750), Tl at (0.000, 0.065, 0.750) and Sb at (0.000, 0.340, 0.566).


Material: Th6TlSb5
Method: DFT, PBE
State: optimized geometry

As for the raw formation energy: -0.7530 eV/atom.

The space group is C2/m (No. 12) and the conventional cell measures 7.825, 13.524 and 7.819 Å, with angles of 90.00, 109.42 and 90.00 degrees. The distinct sites, in fractional coordinates, are Th at (0.249, 0.000, 0.250), Th at (0.249, 0.166, 0.749), Tl at (0.000, 0.000, 0.500), Sb at (0.000, 0.168, 0.000), Sb at (0.000, 0.334, 0.500) and Sb at (0.000, 0.500, 0.000).


Material: ThTlSb2
Method: DFT, PBE
State: optimized geometry

As for the raw formation energy: -0.3193 eV/atom.

The space group is R-3m (No. 166, hexagonal axes) and the conventional cell measures 4.5311, 4.5311 and 23.7170 Å, with angles of 90.00, 90.00 and 120.00 degrees. The distinct sites, in fractional coordinates, are Th at (0.0000, 0.0000, 0.0000), Tl at (0.0000, 0.0000, 0.5000) and Sb at (0.0000, 0.0000, 0.2574).


Material: ThTlSb
Method: DFT, PBE
State: optimized geometry

As for the raw formation energy: -0.4875 eV/atom.

The space group is P4/nmm (No. 129, origin choice 2) and the conventional cell measures 4.518, 4.518 and 8.891 Å, with angles of 90.00, 90.00 and 90.00 degrees. The distinct sites, in fractional coordinates, are Th at (0.250, 0.250, 0.184), Tl at (0.250, 0.750, 0.500) and Sb at (0.250, 0.250, 0.827).


Material: Th4Tl3Sb
Method: DFT, PBE
State: optimized geometry

As for the raw formation energy: -0.2836 eV/atom.

The space group is P4/mmm (No. 123) and the conventional cell measures 3.658, 3.658 and 17.590 Å, with angles of 90.00, 90.00 and 90.00 degrees. The distinct sites, in fractional coordinates, are Th at (0.000, 0.000, 0.112), Th at (0.000, 0.000, 0.372), Tl at (0.500, 0.500, 0.243), Tl at (0.500, 0.500, 0.500) and Sb at (0.500, 0.500, 0.000).


Material: ThTlSb2
Method: DFT, PBE
State: optimized geometry

As for the raw formation energy: -0.4567 eV/atom.

The space group is P4/mmm (No. 123) and the conventional cell measures 5.138, 5.138 and 4.243 Å, with angles of 90.00, 90.00 and 90.00 degrees. The distinct sites, in fractional coordinates, are Th at (0.000, 0.000, 0.000), Tl at (0.500, 0.500, 0.000) and Sb at (0.000, 0.500, 0.500).


Material: ThTlSb2
Method: DFT, PBE
State: optimized geometry

As for the raw formation energy: -0.4843 eV/atom.

The space group is P4/mmm (No. 123) and the conventional cell measures 4.199, 4.199 and 6.736 Å, with angles of 90.00, 90.00 and 90.00 degrees. The distinct sites, in fractional coordinates, are Th at (0.000, 0.000, 0.000), Tl at (0.000, 0.000, 0.500) and Sb at (0.500, 0.500, 0.226).


Material: ThTl2Sb
Method: DFT, PBE
State: optimized geometry

As for the raw formation energy: 0.2120 eV/atom.

The space group is R-3m (No. 166, hexagonal axes) and the conventional cell measures 3.4415, 3.4415 and 36.6261 Å, with angles of 90.00, 90.00 and 120.00 degrees. The distinct sites, in fractional coordinates, are Th at (0.0000, 0.0000, 0.0000), Tl at (0.0000, 0.0000, 0.0906) and Sb at (0.0000, 0.0000, 0.5000).


Material: ThTl2Sb
Method: DFT, PBE
State: optimized geometry

As for the raw formation energy: -0.3165 eV/atom.

The space group is P4/mmm (No. 123) and the conventional cell measures 4.701, 4.701 and 5.080 Å, with angles of 90.00, 90.00 and 90.00 degrees. The distinct sites, in fractional coordinates, are Th at (0.000, 0.000, 0.000), Tl at (0.000, 0.500, 0.500) and Sb at (0.500, 0.500, 0.000).


Material: TmTh2Sb3
Method: DFT, PBE
State: optimized geometry

As for the raw formation energy: -0.9515 eV/atom.

The space group is Fddd (No. 70, origin choice 2) and the conventional cell measures 8.895, 12.598 and 26.703 Å, with angles of 90.00, 90.00 and 90.00 degrees. The distinct sites, in fractional coordinates, are Tm at (0.125, 0.125, 0.041), Th at (0.125, 0.125, 0.376), Th at (0.125, 0.125, 0.543), Sb at (0.114, 0.375, 0.375) and Sb at (0.120, 0.371, 0.210).


Material: TmTh4Sb5
Method: DFT, PBE
State: optimized geometry

As for the raw formation energy: -0.9311 eV/atom.

The space group is I4/mmm (No. 139) and the conventional cell measures 4.483, 4.483 and 31.605 Å, with angles of 90.00, 90.00 and 90.00 degrees. The distinct sites, in fractional coordinates, are Tm at (0.000, 0.000, 0.000), Th at (0.000, 0.000, 0.199), Th at (0.000, 0.000, 0.400), Sb at (0.000, 0.000, 0.097), Sb at (0.000, 0.000, 0.300) and Sb at (0.000, 0.000, 0.500).


Material: Tm2ThSb
Method: DFT, PBE
State: optimized geometry

As for the raw formation energy: -0.4634 eV/atom.

The space group is P4/mmm (No. 123) and the conventional cell measures 3.889, 3.889 and 7.397 Å, with angles of 90.00, 90.00 and 90.00 degrees. The distinct sites, in fractional coordinates, are Tm at (0.000, 0.000, 0.219), Th at (0.500, 0.500, 0.500) and Sb at (0.500, 0.500, 0.000).


Material: Tm2ThSb
Method: DFT, PBE
State: optimized geometry

As for the raw formation energy: -0.4208 eV/atom.

The space group is P4/mmm (No. 123) and the conventional cell measures 4.850, 4.850 and 4.695 Å, with angles of 90.00, 90.00 and 90.00 degrees. The distinct sites, in fractional coordinates, are Tm at (0.000, 0.500, 0.000), Th at (0.000, 0.000, 0.500) and Sb at (0.500, 0.500, 0.500).


Material: Tm4ThSb5
Method: DFT, PBE
State: optimized geometry

As for the raw formation energy: -1.0323 eV/atom.

The space group is Immm (No. 71) and the conventional cell measures 4.376, 6.205 and 21.834 Å, with angles of 90.00, 90.00 and 90.00 degrees. The distinct sites, in fractional coordinates, are Tm at (0.000, 0.000, 0.101), Tm at (0.000, 0.000, 0.297), Th at (0.000, 0.000, 0.500), Sb at (0.000, 0.500, 0.105), Sb at (0.000, 0.500, 0.301) and Sb at (0.000, 0.500, 0.500).


Material: TmThSb2
Method: DFT, PBE
State: optimized geometry

As for the raw formation energy: -0.9848 eV/atom.

The space group is R-3m (No. 166, hexagonal axes) and the conventional cell measures 4.4353, 4.4353 and 21.5041 Å, with angles of 90.00, 90.00 and 120.00 degrees. The distinct sites, in fractional coordinates, are Tm at (0.0000, 0.0000, 0.0000), Th at (0.0000, 0.0000, 0.5000) and Sb at (0.0000, 0.0000, 0.2544).


Material: TmTh2Sb3
Method: DFT, PBE
State: optimized geometry

As for the raw formation energy: -0.9513 eV/atom.

The space group is Immm (No. 71) and the conventional cell measures 4.440, 6.311 and 13.379 Å, with angles of 90.00, 90.00 and 90.00 degrees. The distinct sites, in fractional coordinates, are Tm at (0.000, 0.000, 0.000), Th at (0.000, 0.000, 0.331), Sb at (0.000, 0.500, 0.000) and Sb at (0.000, 0.500, 0.341).


Material: TmThSb2
Method: DFT, PBE
State: optimized geometry

As for the raw formation energy: -0.8748 eV/atom.

The space group is R3m (No. 160, hexagonal axes) and the conventional cell measures 4.3691, 4.3691 and 22.6467 Å, with angles of 90.00, 90.00 and 120.00 degrees. The distinct sites, in fractional coordinates, are Tm at (0.0000, 0.0000, 0.0000), Th at (0.0000, 0.0000, 0.8273), Sb at (0.0000, 0.0000, 0.2491) and Sb at (0.0000, 0.0000, 0.4104).